Record 1
Entry from OQMD: an optimized crystal structure of CoReTcB (PBE).

The structure belongs to space group F-43m (No. 216); the cell edges are 5.785, 5.785 and 5.785 Å and the angles 90.00°, 90.00° and 90.00°. The inequivalent atoms are Co at (0.000, 0.000, 0.000), Re at (0.250, 0.250, 0.250), Tc at (0.000, 0.000, 0.500) and B at (0.250, 0.250, 0.750).

Record 2
Entry from OQMD: an optimized crystal structure of NaDyAg (PBE).

The structure belongs to space group F-43m (No. 216); the cell edges are 6.964, 6.964 and 6.964 Å and the angles 90.00°, 90.00° and 90.00°. The inequivalent atoms are Na at (0.000, 0.000, 0.000), Dy at (0.000, 0.000, 0.500) and Ag at (0.250, 0.250, 0.750).

no.,DFT total energy (eV/atom)
1,-8.652
2,-2.771